[1]
Compound: CeTh3O
Source: Alexandria
Functional: PBE-GGA
Structure: optimized geometry

## Properties
size of the total moment: 0.000 μB per atom
energy relative to the elements, uncorrected: -1.084 eV per atom
SG: Pm-3m (221)
energy: -38.57 eV/cell

abc: 5.042 5.042 5.042
angles: 90.00 90.00 90.00
Sites, in units of the cell vectors:
Ce1 0.000 0.000 0.000
Th1 0.000 0.500 0.500
Th2 0.500 0.000 0.500
Th3 0.500 0.500 0.000
O1 0.500 0.500 0.500


[2]
Compound: Ac2Zn12Ag5
Source: Alexandria
Functional: PBE-GGA
Structure: optimized geometry

## Properties
size of the total moment: 0.000 μB per atom
SG: R-3m (166)
energy of formation from the pure elements: -0.1818 eV per atom
energy: -41.21 eV/cell

abc: 7.133 7.133 7.133
angles: 82.71 82.71 82.71
Sites, in units of the cell vectors:
Ac1 0.158 0.158 0.158
Ac2 0.842 0.842 0.842
Zn1 0.154 0.154 0.664
Zn2 0.154 0.664 0.154
Zn3 0.212 0.500 0.788
Zn4 0.212 0.788 0.500
Zn5 0.336 0.846 0.846
Zn6 0.500 0.212 0.788
Zn7 0.500 0.788 0.212
Zn8 0.664 0.154 0.154
Zn9 0.788 0.212 0.500
Zn10 0.788 0.500 0.212
Zn11 0.846 0.336 0.846
Zn12 0.846 0.846 0.336
Ag1 0.000 0.500 0.500
Ag2 0.398 0.398 0.398
Ag3 0.500 0.000 0.500
Ag4 0.500 0.500 0.000
Ag5 0.602 0.602 0.602


[3]
Compound: Ta3CdIr
Source: Alexandria
Functional: PBE-GGA
Structure: optimized geometry

## Properties
size of the total moment: 0.142 μB per atom
SG: Pm-3m (221)
energy of formation from the pure elements: 2.4396 eV per atom
E above lowest polymorph: 1476 meV/atom
energy: -33.14 eV/cell

abc: 4.856 4.856 4.856
angles: 90.00 90.00 90.00
Sites, in units of the cell vectors:
Ta1 0.000 0.000 0.500
Ta2 0.000 0.500 0.000
Ta3 0.500 0.000 0.000
Cd1 0.000 0.000 0.000
Ir1 0.500 0.500 0.500


[4]
Compound: Er4CdHg3
Source: Alexandria
Functional: PBE-GGA
Structure: optimized geometry

## Properties
size of the total moment: 0.000 μB per atom
SG: Pmm2 (25)
energy of formation from the pure elements: -0.3919 eV per atom
E above lowest polymorph: 45 meV/atom
energy: -23.21 eV/cell

abc: 3.750 4.795 11.540
angles: 90.00 90.00 90.00
Sites, in units of the cell vectors:
Er1 0.000 0.000 0.000
Er2 0.000 0.500 0.297
Er3 0.500 0.000 0.496
Er4 0.500 0.500 0.800
Cd1 0.000 0.000 0.728
Hg1 0.000 0.500 0.565
Hg2 0.500 0.000 0.233
Hg3 0.500 0.500 0.063


[5]
Compound: HfTePN2
Source: Alexandria
Functional: PBE-GGA
Structure: optimized geometry

## Properties
size of the total moment: 0.000 μB per atom
energy relative to the elements, uncorrected: 1.044 eV per atom
SG: P4/mmm (123)
E above lowest polymorph: 427 meV/atom
energy: -29.94 eV/cell

abc: 3.909 3.909 4.963
angles: 90.00 90.00 90.00
Sites, in units of the cell vectors:
Hf1 0.000 0.000 0.000
Te1 0.500 0.500 0.000
P1 0.500 0.500 0.500
N1 0.000 0.500 0.500
N2 0.500 0.000 0.500


[6]
Compound: Rb3Sm2UTe6
Source: Alexandria
Functional: PBE-GGA
Structure: optimized geometry

## Properties
size of the total moment: 0.250 μB per atom
energy relative to the elements, uncorrected: -1.205 eV per atom
SG: C2/m (12)
energy: -56.94 eV/cell

abc: 7.966 7.966 8.981
angles: 98.50 98.50 120.00
Sites, in units of the cell vectors:
Rb1 0.000 0.000 0.000
Rb2 0.333 0.667 0.000
Rb3 0.667 0.333 0.000
Sm1 0.167 0.833 0.500
Sm2 0.833 0.167 0.500
U1 0.500 0.500 0.500
Te1 0.100 0.432 0.297
Te2 0.235 0.235 0.703
Te3 0.432 0.100 0.297
Te4 0.568 0.900 0.703
Te5 0.765 0.765 0.297
Te6 0.900 0.568 0.703


[7]
Compound: LaIr
Source: Alexandria
Functional: PBE-GGA
Structure: optimized geometry

## Properties
size of the total moment: 0.000 μB per atom
SG: P6_3/mmc (194)
energy of formation from the pure elements: -0.4079 eV per atom
energy: -29.21 eV/cell

abc: 4.003 4.003 7.408
angles: 90.00 90.00 120.00
Sites, in units of the cell vectors:
La1 0.000 0.000 0.000
La2 0.000 0.000 0.500
Ir1 0.333 0.667 0.250
Ir2 0.667 0.333 0.750


[8]
Compound: TbAlTe3
Source: Alexandria
Functional: PBE-GGA
Structure: optimized geometry

## Properties
size of the total moment: 0.000 μB per atom
energy relative to the elements, uncorrected: -0.790 eV per atom
SG: Pnma (62)
E above lowest polymorph: 118 meV/atom
energy: -86.99 eV/cell

abc: 8.338 11.866 7.374
angles: 90.00 90.00 90.00
Sites, in units of the cell vectors:
Tb1 0.000 0.000 0.000
Tb2 0.000 0.500 0.000
Tb3 0.500 0.000 0.500
Tb4 0.500 0.500 0.500
Al1 0.178 0.250 0.459
Al2 0.322 0.750 0.959
Al3 0.678 0.250 0.041
Al4 0.822 0.750 0.541
Te1 0.003 0.250 0.148
Te2 0.176 0.067 0.650
Te3 0.176 0.433 0.650
Te4 0.324 0.567 0.150
Te5 0.324 0.933 0.150
Te6 0.497 0.750 0.648
Te7 0.503 0.250 0.352
Te8 0.676 0.067 0.850
Te9 0.676 0.433 0.850
Te10 0.824 0.567 0.350
Te11 0.824 0.933 0.350
Te12 0.997 0.750 0.852


[9]
Compound: MnTeS2
Source: Alexandria
Functional: PBE-GGA
Structure: optimized geometry

## Properties
size of the total moment: 0.475 μB per atom
energy relative to the elements, uncorrected: -0.258 eV per atom
SG: Pnma (62)
energy: -86.39 eV/cell

abc: 8.200 3.160 15.546
angles: 90.00 90.00 90.00
Sites, in units of the cell vectors:
Mn1 0.036 0.250 0.064
Mn2 0.464 0.750 0.564
Mn3 0.536 0.250 0.436
Mn4 0.964 0.750 0.936
Te1 0.029 0.250 0.617
Te2 0.471 0.750 0.117
Te3 0.529 0.250 0.883
Te4 0.971 0.750 0.383
S1 0.158 0.250 0.937
S2 0.173 0.750 0.145
S3 0.327 0.250 0.645
S4 0.342 0.750 0.437
S5 0.658 0.250 0.563
S6 0.673 0.750 0.355
S7 0.827 0.250 0.855
S8 0.842 0.750 0.063


[10]
Compound: LaNdMgHg
Source: Alexandria
Functional: PBE-GGA
Structure: optimized geometry

## Properties
size of the total moment: 0.000 μB per atom
SG: F-43m (216)
energy of formation from the pure elements: -0.2735 eV per atom
E above lowest polymorph: 20 meV/atom
energy: -12.69 eV/cell

abc: 5.502 5.502 5.502
angles: 60.00 60.00 60.00
Sites, in units of the cell vectors:
La1 0.000 0.000 0.000
Nd1 0.500 0.500 0.500
Mg1 0.750 0.750 0.750
Hg1 0.250 0.250 0.250


[11]
Compound: EuScTlAu
Source: Alexandria
Functional: PBE-GGA
Structure: optimized geometry

## Properties
size of the total moment: 1.726 μB per atom
SG: F-43m (216)
energy of formation from the pure elements: -0.4518 eV per atom
energy: -24.06 eV/cell

abc: 5.207 5.207 5.207
angles: 60.00 60.00 60.00
Sites, in units of the cell vectors:
Eu1 0.000 0.000 0.000
Sc1 0.500 0.500 0.500
Tl1 0.250 0.250 0.250
Au1 0.750 0.750 0.750


[12]
Compound: Tb2Y3Ho7
Source: Alexandria
Functional: PBE-GGA
Structure: optimized geometry

## Properties
size of the total moment: 0.000 μB per atom
SG: P2/m (10)
energy of formation from the pure elements: 0.0869 eV per atom
E above lowest polymorph: 9 meV/atom
energy: -59.65 eV/cell

abc: 5.758 3.573 18.577
angles: 90.00 93.46 90.00
Sites, in units of the cell vectors:
Tb1 0.206 0.000 0.294
Tb2 0.794 0.000 0.706
Y1 0.000 0.000 0.000
Y2 0.281 0.500 0.632
Y3 0.719 0.500 0.368
Ho1 0.184 0.500 0.144
Ho2 0.242 0.000 0.463
Ho3 0.315 0.000 0.823
Ho4 0.500 0.500 0.000
Ho5 0.685 0.000 0.177
Ho6 0.758 0.000 0.537
Ho7 0.816 0.500 0.856